Record 1
Here is a relaxed Ac2UO7 crystal from the Alexandria database. Energies are from GGA-PBE.

Cell: 6.4539 7.3327 7.7620 Å, 64.13 65.43 63.89°
Closest atoms and distances in Å follow each position.
Fractional positions:
Ac  0.3590  0.0869  0.2437  8 O 2.51-2.69
Ac  0.3104  0.5869  0.7437  8 O 2.51-2.69
Ac  0.6896  0.4131  0.2563  8 O 2.51-2.69
Ac  0.6410  0.9131  0.7563  8 O 2.51-2.69
O  0.1613  0.2690  0.9485  1 U 2.17
O  0.3788  0.2310  0.5515  1 U 2.17
O  0.1990  0.9254  0.8552  1 U 2.08
O  0.9339  0.0297  0.4279  1 O 1.49
O  0.6997  0.2500  0.7500  1 U 2.07
O  0.9797  0.5746  0.6448  1 U 2.08
O  0.3003  0.7500  0.2500  1 U 2.07
O  0.8387  0.7310  0.0515  1 U 2.17
O  0.0203  0.4254  0.3552  1 U 2.08
O  0.8010  0.0746  0.1448  1 U 2.08
O  0.0661  0.9703  0.5721  1 O 1.49
O  0.3916  0.4703  0.0721  1 O 1.49
O  0.6212  0.7690  0.4485  1 U 2.17
O  0.6084  0.5297  0.9279  1 O 1.49
U  0.0202  0.2500  0.7500  5 O 2.07-2.17
U  0.9798  0.7500  0.2500  5 O 2.07-2.17

Computed properties:
ΔE_f (raw) (meV per atom): -2905
ρ (g cm⁻³): 9.36
Size of the total moment (μB/f.u.): 0.0
Calculated total energy (eV/cell): -166.5


Record 2
Here is a relaxed AcU2O8 crystal from the Alexandria database. Energies are from GGA-PBE.

Cell: 4.0877 6.2434 6.2434 Å, 116.21 93.21 93.21°
Closest atoms and distances in Å follow each position.
Fractional positions:
U  0.0000  0.3255  0.6745  6 O 2.07-2.28
U  0.0000  0.6745  0.3255  6 O 2.07-2.28
O  0.9547  0.6676  0.9370  1 U 2.07
O  0.3040  0.5919  0.5919  1 O 2.11, 2 U 2.28
O  0.0453  0.3324  0.0630  1 U 2.07
O  0.6960  0.4081  0.4081  1 O 2.11, 2 U 2.28
O  0.5000  0.2583  0.7417  2 U 2.16
O  0.9547  0.9370  0.6676  1 U 2.07
O  0.0453  0.0630  0.3324  1 U 2.07
O  0.5000  0.7417  0.2583  2 U 2.16
Ac  0.5000  0.0000  0.0000  12 O 2.73-2.84

Computed properties:
ΔE_f (raw) (meV per atom): -2930
ρ (g cm⁻³): 9.71
Size of the total moment (μB/f.u.): 1.0
Calculated total energy (eV/cell): -98.6


Record 3
Here is a relaxed Ac5U3O12 crystal from the Alexandria database. Energies are from GGA-PBE.

Cell: 12.5790 12.5790 12.5790 Å, 109.47 109.47 109.47°
Closest atoms and distances in Å follow each position.
Fractional positions:
Ac  0.5000  0.5000  0.0000  6 O 2.55
Ac  0.8750  0.6250  0.7500  4 O 2.57
Ac  0.2500  0.8750  0.1250  4 O 2.57
Ac  0.0000  0.5000  0.0000  6 O 2.55
Ac  0.7500  0.6250  0.3750  4 O 2.57
Ac  0.0000  0.0000  0.0000  6 O 2.55
Ac  0.3750  0.1250  0.7500  4 O 2.57
Ac  0.3750  0.2500  0.1250  4 O 2.57
Ac  0.7500  0.1250  0.8750  4 O 2.57
Ac  0.1250  0.7500  0.3750  4 O 2.57
Ac  0.2500  0.3750  0.6250  4 O 2.57
Ac  0.6250  0.8750  0.2500  4 O 2.57
Ac  0.0000  0.5000  0.5000  6 O 2.55
Ac  0.5000  0.0000  0.0000  6 O 2.55
Ac  0.1250  0.3750  0.2500  4 O 2.57
Ac  0.8750  0.2500  0.6250  4 O 2.57
Ac  0.5000  0.5000  0.5000  6 O 2.55
Ac  0.5000  0.0000  0.5000  6 O 2.55
Ac  0.0000  0.0000  0.5000  6 O 2.55
Ac  0.6250  0.7500  0.8750  4 O 2.57
O  0.1835  0.5759  0.2217  1 U 2.14
O  0.6459  0.1077  0.4241  1 U 2.14
O  0.4241  0.6077  0.6459  1 U 2.14
O  0.2217  0.0759  0.1835  1 U 2.14
O  0.2783  0.3165  0.4241  1 U 2.14
O  0.6835  0.9618  0.1077  1 U 2.14
O  0.8165  0.4241  0.7783  1 U 2.14
O  0.3165  0.0382  0.8923  1 U 2.14
O  0.8541  0.0759  0.3923  1 U 2.14
O  0.6459  0.5382  0.7217  1 U 2.14
O  0.9241  0.1459  0.1077  1 U 2.14
O  0.6077  0.4241  0.1459  1 U 2.14
O  0.3165  0.2783  0.9241  1 U 2.14
O  0.0759  0.2217  0.6835  1 U 2.14
O  0.7217  0.6835  0.5759  1 U 2.14
O  0.4241  0.8165  0.2783  1 U 2.14
O  0.6835  0.7217  0.0759  1 U 2.14
O  0.8541  0.7783  0.9618  1 U 2.14
O  0.2217  0.1459  0.5382  1 U 2.14
O  0.2783  0.9618  0.3541  1 U 2.14
O  0.9241  0.7783  0.3165  1 U 2.14
O  0.7783  0.8541  0.4618  1 U 2.14
O  0.4618  0.1077  0.1835  1 U 2.14
O  0.3541  0.8923  0.5759  1 U 2.14
O  0.8165  0.3923  0.5382  1 U 2.14
O  0.0382  0.3165  0.3923  1 U 2.14
O  0.0382  0.7217  0.1459  1 U 2.14
O  0.4618  0.3541  0.7783  1 U 2.14
O  0.3923  0.8165  0.0382  1 U 2.14
O  0.7217  0.0382  0.6459  1 U 2.14
O  0.1077  0.4618  0.6835  1 U 2.14
O  0.5382  0.8923  0.8165  1 U 2.14
O  0.7783  0.9241  0.8165  1 U 2.14
O  0.3541  0.4618  0.2783  1 U 2.14
O  0.1459  0.9241  0.6077  1 U 2.14
O  0.8923  0.5382  0.3165  1 U 2.14
O  0.1835  0.6077  0.4618  1 U 2.14
O  0.5382  0.6459  0.2217  1 U 2.14
O  0.5759  0.1835  0.7217  1 U 2.14
O  0.8923  0.3541  0.0759  1 U 2.14
O  0.1077  0.6459  0.9241  1 U 2.14
O  0.9618  0.2783  0.8541  1 U 2.14
O  0.5759  0.3923  0.3541  1 U 2.14
O  0.0759  0.8541  0.8923  1 U 2.14
O  0.3923  0.5759  0.8541  1 U 2.14
O  0.6077  0.1835  0.9618  1 U 2.14
O  0.1459  0.2217  0.0382  1 U 2.14
O  0.9618  0.6835  0.6077  1 U 2.14
U  0.8750  0.1250  0.2500  4 O 2.14
U  0.3750  0.7500  0.6250  4 O 2.14
U  0.3750  0.6250  0.2500  4 O 2.14
U  0.8750  0.7500  0.1250  4 O 2.14
U  0.2500  0.1250  0.3750  4 O 2.14
U  0.1250  0.8750  0.7500  4 O 2.14
U  0.6250  0.3750  0.7500  4 O 2.14
U  0.6250  0.2500  0.3750  4 O 2.14
U  0.2500  0.6250  0.8750  4 O 2.14
U  0.7500  0.8750  0.6250  4 O 2.14
U  0.1250  0.2500  0.8750  4 O 2.14
U  0.7500  0.3750  0.1250  4 O 2.14

Computed properties:
ΔE_f (raw) (meV per atom): -3078
ρ (g cm⁻³): 8.85
Size of the total moment (μB/f.u.): 5.7
Calculated total energy (eV/cell): -701.9


Record 4
Here is a relaxed AcUO5 crystal from the Alexandria database. Energies are from GGA-PBE.

Cell: 6.0080 6.0080 8.4374 Å, 69.35 69.35 70.96°
Closest atoms and distances in Å follow each position.
Fractional positions:
O  0.2317  0.2095  0.3884  1 U 1.95
O  0.7683  0.7905  0.6116  1 U 1.95
O  0.2095  0.2317  0.8884  1 U 1.95
O  0.7905  0.7683  0.1116  1 U 1.95
O  0.0852  0.9148  0.7500  2 U 2.19
O  0.2853  0.7024  0.4735  1 U 2.05
O  0.7147  0.2976  0.5265  1 U 2.05
O  0.2976  0.7147  0.0265  1 U 2.05
O  0.9148  0.0852  0.2500  2 U 2.19
O  0.7024  0.2853  0.9735  1 U 2.05
U  0.0000  0.0000  0.0000  4 O 1.95-2.05
U  0.0000  0.0000  0.5000  4 O 1.95-2.05
Ac  0.4589  0.5411  0.7500  7 O 2.47-2.63
Ac  0.5411  0.4589  0.2500  7 O 2.47-2.63

Computed properties:
ΔE_f (raw) (meV per atom): -2963
ρ (g cm⁻³): 6.97
Distance to the lowest polymorph of the same formula (eV per formula unit): 0.00
Size of the total moment (μB/f.u.): 0.0
Calculated total energy (eV/cell): -121.9